Record 1
Crystalline SrNbCuPd at its relaxed geometry. Source: OQMD, functional PBE.

Total energy   -75.80 eV/cell
Calculated volume   294.3 Å³ per cell
Distance to the lowest polymorph of the same formula   92.6 meV/atom

Cell and atoms, written as CIF:
```
data_SrNbCuPd
_space_group_name_H-M_alt 'F -4 3 m'
_space_group_IT_number 216
_space_group_name_Hall 'F -4 2 3'
_cell_length_a 6.652
_cell_length_b 6.652
_cell_length_c 6.652
_cell_angle_alpha 90.00
_cell_angle_beta 90.00
_cell_angle_gamma 90.00
loop_
_atom_site_label
_atom_site_type_symbol
_atom_site_fract_x
_atom_site_fract_y
_atom_site_fract_z
_atom_site_occupancy
Sr1 Sr 0.000 0.000 0.000 1
Nb1 Nb 0.250 0.250 0.750 1
Cu1 Cu 0.250 0.250 0.250 1
Pd1 Pd 0.000 0.000 0.500 1
```

Record 2
Crystalline SrNbCuPd at its relaxed geometry. Source: OQMD, functional PBE.

Total energy   -77.29 eV/cell
Calculated volume   324.3 Å³ per cell
Distance to the lowest polymorph of the same formula   0.0 meV/atom

Cell and atoms, written as CIF:
```
data_SrNbCuPd
_space_group_name_H-M_alt 'F -4 3 m'
_space_group_IT_number 216
_space_group_name_Hall 'F -4 2 3'
_cell_length_a 6.870
_cell_length_b 6.870
_cell_length_c 6.870
_cell_angle_alpha 90.00
_cell_angle_beta 90.00
_cell_angle_gamma 90.00
loop_
_atom_site_label
_atom_site_type_symbol
_atom_site_fract_x
_atom_site_fract_y
_atom_site_fract_z
_atom_site_occupancy
Sr1 Sr 0.000 0.000 0.000 1
Nb1 Nb 0.000 0.000 0.500 1
Cu1 Cu 0.250 0.250 0.250 1
Pd1 Pd 0.250 0.250 0.750 1
```

Record 3
Crystalline SrNbCuPd at its relaxed geometry. Source: OQMD, functional PBE.

Total energy   -73.53 eV/cell
Calculated volume   295.7 Å³ per cell
Distance to the lowest polymorph of the same formula   235.0 meV/atom

Cell and atoms, written as CIF:
```
data_SrNbCuPd
_space_group_name_H-M_alt 'F -4 3 m'
_space_group_IT_number 216
_space_group_name_Hall 'F -4 2 3'
_cell_length_a 6.662
_cell_length_b 6.662
_cell_length_c 6.662
_cell_angle_alpha 90.00
_cell_angle_beta 90.00
_cell_angle_gamma 90.00
loop_
_atom_site_label
_atom_site_type_symbol
_atom_site_fract_x
_atom_site_fract_y
_atom_site_fract_z
_atom_site_occupancy
Sr1 Sr 0.000 0.000 0.000 1
Nb1 Nb 0.250 0.250 0.250 1
Cu1 Cu 0.000 0.000 0.500 1
Pd1 Pd 0.250 0.250 0.750 1
```

Record 4
Crystalline NbZnCuPd at its relaxed geometry. Source: OQMD, functional PBE.

Total energy   -82.74 eV/cell
Formation energy from the elements   -0.11 eV per atom
Calculated volume   234.1 Å³ per cell
Distance to the lowest polymorph of the same formula   51.4 meV/atom

Cell and atoms, written as CIF:
```
data_NbZnCuPd
_space_group_name_H-M_alt 'F -4 3 m'
_space_group_IT_number 216
_space_group_name_Hall 'F -4 2 3'
_cell_length_a 6.163
_cell_length_b 6.163
_cell_length_c 6.163
_cell_angle_alpha 90.00
_cell_angle_beta 90.00
_cell_angle_gamma 90.00
loop_
_atom_site_label
_atom_site_type_symbol
_atom_site_fract_x
_atom_site_fract_y
_atom_site_fract_z
_atom_site_occupancy
Nb1 Nb 0.000 0.000 0.000 1
Zn1 Zn 0.250 0.250 0.750 1
Cu1 Cu 0.250 0.250 0.250 1
Pd1 Pd 0.000 0.000 0.500 1
```

Record 5
Crystalline NbZnCuPd at its relaxed geometry. Source: OQMD, functional PBE.

Total energy   -82.77 eV/cell
Formation energy from the elements   -0.11 eV per atom
Calculated volume   238.5 Å³ per cell
Distance to the lowest polymorph of the same formula   49.5 meV/atom

Cell and atoms, written as CIF:
```
data_NbZnCuPd
_space_group_name_H-M_alt 'F -4 3 m'
_space_group_IT_number 216
_space_group_name_Hall 'F -4 2 3'
_cell_length_a 6.202
_cell_length_b 6.202
_cell_length_c 6.202
_cell_angle_alpha 90.00
_cell_angle_beta 90.00
_cell_angle_gamma 90.00
loop_
_atom_site_label
_atom_site_type_symbol
_atom_site_fract_x
_atom_site_fract_y
_atom_site_fract_z
_atom_site_occupancy
Nb1 Nb 0.000 0.000 0.000 1
Zn1 Zn 0.250 0.250 0.250 1
Cu1 Cu 0.000 0.000 0.500 1
Pd1 Pd 0.250 0.250 0.750 1
```

Record 6
Crystalline NbZnCuPd at its relaxed geometry. Source: OQMD, functional PBE.

Total energy   -83.57 eV/cell
Formation energy from the elements   -0.16 eV per atom
Calculated volume   239.2 Å³ per cell
Distance to the lowest polymorph of the same formula   0.0 meV/atom

Cell and atoms, written as CIF:
```
data_NbZnCuPd
_space_group_name_H-M_alt 'F -4 3 m'
_space_group_IT_number 216
_space_group_name_Hall 'F -4 2 3'
_cell_length_a 6.207
_cell_length_b 6.207
_cell_length_c 6.207
_cell_angle_alpha 90.00
_cell_angle_beta 90.00
_cell_angle_gamma 90.00
loop_
_atom_site_label
_atom_site_type_symbol
_atom_site_fract_x
_atom_site_fract_y
_atom_site_fract_z
_atom_site_occupancy
Nb1 Nb 0.000 0.000 0.000 1
Zn1 Zn 0.000 0.000 0.500 1
Cu1 Cu 0.250 0.250 0.750 1
Pd1 Pd 0.250 0.250 0.250 1
```

Record 7
Crystalline PmNbCu at its relaxed geometry. Source: OQMD, functional PBE.

Total energy   -62.04 eV/cell
Formation energy from the elements   1.02 eV per atom
Calculated volume   272.1 Å³ per cell
Distance to the lowest polymorph of the same formula   0.0 meV/atom

Cell and atoms, written as CIF:
```
data_PmNbCu
_space_group_name_H-M_alt 'F -4 3 m'
_space_group_IT_number 216
_space_group_name_Hall 'F -4 2 3'
_cell_length_a 6.480
_cell_length_b 6.480
_cell_length_c 6.480
_cell_angle_alpha 90.00
_cell_angle_beta 90.00
_cell_angle_gamma 90.00
loop_
_atom_site_label
_atom_site_type_symbol
_atom_site_fract_x
_atom_site_fract_y
_atom_site_fract_z
_atom_site_occupancy
Pm1 Pm 0.000 0.000 0.000 1
Nb1 Nb 0.250 0.250 0.750 1
Cu1 Cu 0.000 0.000 0.500 1
```

Record 8
Crystalline PmNbCu at its relaxed geometry. Source: OQMD, functional PBE.

Total energy   -58.41 eV/cell
Formation energy from the elements   1.32 eV per atom
Calculated volume   291.7 Å³ per cell
Distance to the lowest polymorph of the same formula   302.5 meV/atom

Cell and atoms, written as CIF:
```
data_PmNbCu
_space_group_name_H-M_alt 'F -4 3 m'
_space_group_IT_number 216
_space_group_name_Hall 'F -4 2 3'
_cell_length_a 6.632
_cell_length_b 6.632
_cell_length_c 6.632
_cell_angle_alpha 90.00
_cell_angle_beta 90.00
_cell_angle_gamma 90.00
loop_
_atom_site_label
_atom_site_type_symbol
_atom_site_fract_x
_atom_site_fract_y
_atom_site_fract_z
_atom_site_occupancy
Pm1 Pm 0.000 0.000 0.000 1
Nb1 Nb 0.250 0.250 0.250 1
Cu1 Cu 0.250 0.250 0.750 1
```

> Look up the total energy of the seventh one.

-62.04 eV/cell

> Which value of total energy does entry 7 give?

-62.04 eV/cell